The following is a DFT calculation (PBE) of crystalline CsTcSb3 at its relaxed geometry.

```
data_CsTcSb3
_space_group_name_H-M_alt 'P m -3 m'
_space_group_IT_number 221
_space_group_name_Hall '-P 4 2 3'
_cell_length_a 5.953
_cell_length_b 5.953
_cell_length_c 5.953
_cell_angle_alpha 90.00
_cell_angle_beta 90.00
_cell_angle_gamma 90.00
loop_
_atom_site_label
_atom_site_type_symbol
_atom_site_fract_x
_atom_site_fract_y
_atom_site_fract_z
Cs1 Cs 0.000 0.000 0.000
Tc1 Tc 0.500 0.500 0.500
Sb1 Sb 0.000 0.000 0.500
```

## Properties
The value obtained for the raw formation energy is 12.95 eV/f.u. The value obtained for the total energy is -2.128 eV/atom.



The following is a DFT calculation (PBE) of crystalline In4HgPd15 at its relaxed geometry.

```
data_In4HgPd15
_space_group_name_H-M_alt 'P 4/m m m'
_space_group_IT_number 123
_space_group_name_Hall '-P 4 2'
_cell_length_a 4.035
_cell_length_b 4.035
_cell_length_c 20.380
_cell_angle_alpha 90.00
_cell_angle_beta 90.00
_cell_angle_gamma 90.00
loop_
_atom_site_label
_atom_site_type_symbol
_atom_site_fract_x
_atom_site_fract_y
_atom_site_fract_z
In1 In 0.000 0.000 0.100
In2 In 0.000 0.000 0.300
Hg1 Hg 0.000 0.000 0.500
Pd1 Pd 0.000 0.500 0.000
Pd2 Pd 0.000 0.500 0.200
Pd3 Pd 0.000 0.500 0.398
Pd4 Pd 0.500 0.500 0.100
Pd5 Pd 0.500 0.500 0.299
Pd6 Pd 0.500 0.500 0.500
```

## Properties
For the formation energy, the calculation gives -0.36 eV per atom. The value obtained for the total energy is -4.817 eV/atom.